Version i
Here is a geometry-optimized B5C7 structure from the Alexandria database. Energies are from PBE.

a b c (Å): 4.574 4.641 4.678
angles (deg): 119.41 98.50 101.41
Space group P1 (No. 1)
Inequivalent atoms, fractional coordinates:
1 B 0.000 0.000 0.000 [1 per cell]
2 B 0.019 0.259 0.663 [1 per cell]
3 B 0.356 0.765 0.495 [1 per cell]
4 B 0.520 0.816 0.090 [1 per cell]
5 B 0.852 0.647 0.574 [1 per cell]
6 C 0.001 0.641 0.285 [1 per cell]
7 C 0.381 0.110 0.107 [1 per cell]
8 C 0.383 0.425 0.762 [1 per cell]
9 C 0.492 0.459 0.478 [1 per cell]
10 C 0.505 0.157 0.829 [1 per cell]
11 C 0.863 0.286 0.945 [1 per cell]
12 C 0.870 0.926 0.283 [1 per cell]

- Crystal system: triclinic


Version ii
Here is a geometry-optimized B5C7 structure from the Alexandria database. Energies are from PBE.

a b c (Å): 3.585 4.514 5.300
angles (deg): 100.59 90.68 112.75
Space group P1 (No. 1)
Inequivalent atoms, fractional coordinates:
1 B 0.000 0.000 0.000 [1 per cell]
2 B 0.010 0.102 0.553 [1 per cell]
3 B 0.312 0.162 0.273 [1 per cell]
4 B 0.372 0.774 0.191 [1 per cell]
5 B 0.890 0.366 0.122 [1 per cell]
6 C 0.286 0.062 0.766 [1 per cell]
7 C 0.353 0.741 0.692 [1 per cell]
8 C 0.570 0.692 0.925 [1 per cell]
9 C 0.606 0.771 0.451 [1 per cell]
10 C 0.673 0.383 0.852 [1 per cell]
11 C 0.719 0.474 0.392 [1 per cell]
12 C 0.941 0.435 0.620 [1 per cell]

- Crystal system: triclinic


The structure with the least stability is version i.


Version i
Here is a geometry-optimized TlTcAg2 structure from the Alexandria database. Energies are from PBE.

a b c (Å): 2.992 5.041 9.811
angles (deg): 90.00 90.00 90.00
Space group Imm2 (No. 44)
Inequivalent atoms, fractional coordinates:
1 Tl 0.000 0.000 0.000 [2 per cell]
2 Tc 0.000 0.500 0.749 [2 per cell]
3 Ag 0.000 0.000 0.496 [2 per cell]
4 Ag 0.000 0.500 0.244 [2 per cell]

- Crystal system: orthorhombic


Version ii
Here is a geometry-optimized TlTcAg2 structure from the Alexandria database. Energies are from PBE.

a b c (Å): 3.399 4.631 9.532
angles (deg): 90.00 90.00 90.00
Space group Cmm2 (No. 35)
Inequivalent atoms, fractional coordinates:
1 Tl 0.000 0.000 0.000 [2 per cell]
2 Tc 0.000 0.500 0.250 [2 per cell]
3 Ag 0.000 0.000 0.485 [2 per cell]
4 Ag 0.000 0.500 0.726 [2 per cell]

- Crystal system: orthorhombic


The structure with the least stability is version i.


Version i
Here is a geometry-optimized Cr2CoHRh structure from the Alexandria database. Energies are from PBE.

a b c (Å): 3.681 3.681 3.661
angles (deg): 90.00 90.00 90.00
Space group P4/mmm (No. 123)
Inequivalent atoms, fractional coordinates:
1 Cr 0.000 0.500 0.000 [2 per cell]
2 Co 0.000 0.000 0.500 [1 per cell]
3 H 0.000 0.000 0.000 [1 per cell]
4 Rh 0.500 0.500 0.500 [1 per cell]

- Crystal system: tetragonal


Version ii
Here is a geometry-optimized Cr2CoHRh structure from the Alexandria database. Energies are from PBE.

a b c (Å): 3.666 3.666 3.742
angles (deg): 90.00 90.00 90.00
Space group P4/mmm (No. 123)
Inequivalent atoms, fractional coordinates:
1 Cr 0.000 0.500 0.000 [2 per cell]
2 Co 0.000 0.000 0.500 [1 per cell]
3 H 0.500 0.500 0.000 [1 per cell]
4 Rh 0.500 0.500 0.500 [1 per cell]

- Crystal system: tetragonal


The structure with the least stability is version ii.


Version i
Here is a geometry-optimized BeC structure from the Alexandria database. Energies are from PBE.

a b c (Å): 3.214 5.589 2.271
angles (deg): 90.00 134.74 90.00
Space group C2 (No. 5)
Inequivalent atoms, fractional coordinates:
1 Be 0.000 0.000 0.000 [2 per cell]
2 C 0.000 0.250 0.500 [2 per cell]

- Crystal system: monoclinic


Version ii
Here is a geometry-optimized BeC structure from the Alexandria database. Energies are from PBE.

a b c (Å): 2.011 2.011 8.561
angles (deg): 90.00 90.00 90.00
Space group P4/nmm (No. 129, origin choice 2)
Inequivalent atoms, fractional coordinates:
1 Be 0.250 0.250 0.110 [2 per cell]
2 C 0.250 0.250 0.737 [2 per cell]

- Crystal system: tetragonal


The structure with the least stability is version ii.